No. 1
Entry from the Alexandria database: a relaxed structure of OsPdOF2 (GGA-PBE).

Results
formation energy without anion corrections: 0.52 eV/atom
excess energy over the best structure of this formula in the dataset: 0.908 eV/atom
magnetic moment: 4.2 Bohr magnetons per cell
D(E_F): 0.824 states/eV per atom
total DFT energy (no corrections): -4.505 eV/atom
calculated volume: 14.3 Å³ per atom

The structure in CIF format:
```
data_OsPdOF2
_cell_length_a 4.2041
_cell_length_b 4.2041
_cell_length_c 4.0445
_cell_angle_alpha 90.00
_cell_angle_beta 90.00
_cell_angle_gamma 90.00
_symmetry_space_group_name_H-M 'P 4/m m m'
_symmetry_Int_Tables_number 123
_symmetry_space_group_name_Hall '-P 4 2'
loop_
_atom_site_label
_atom_site_fract_x
_atom_site_fract_y
_atom_site_fract_z
Os1 0.0000 0.0000 0.0000
Pd1 0.5000 0.5000 0.5000
O1 0.5000 0.5000 0.0000
F1 0.0000 0.5000 0.5000
```



No. 2
Entry from the Alexandria database: a relaxed structure of LaTmHg14 (GGA-PBE).

Results
magnetic moment: 0.0 Bohr magnetons per cell
formation energy from the elements: -165.1 meV/atom
D(E_F): 0.411 states/eV per atom
total DFT energy (no corrections): -1.017 eV/atom
calculated volume: 25.4 Å³ per atom

The structure in CIF format:
```
data_LaTmHg14
_cell_length_a 9.5686
_cell_length_b 9.6084
_cell_length_c 8.8343
_cell_angle_alpha 90.00
_cell_angle_beta 90.00
_cell_angle_gamma 90.00
_symmetry_space_group_name_H-M 'C m m m'
_symmetry_Int_Tables_number 65
_symmetry_space_group_name_Hall '-C 2 2'
loop_
_atom_site_label
_atom_site_fract_x
_atom_site_fract_y
_atom_site_fract_z
La1 0.0000 0.0000 0.0000
Tm1 0.0000 0.5000 0.0000
Hg1 0.0000 0.0000 0.5000
Hg2 0.0000 0.2555 0.2528
Hg3 0.0000 0.5000 0.5000
Hg4 0.2446 0.5000 0.2531
Hg5 0.2500 0.2500 0.0000
Hg6 0.2500 0.2500 0.5000
```



No. 3
Entry from the Alexandria database: a relaxed structure of Cr2PRh (GGA-PBE).

Results
magnetic moment: 8.1 Bohr magnetons per cell
formation energy from the elements: 161.1 meV/atom
D(E_F): 1.308 states/eV per atom
total DFT energy (no corrections): -7.841 eV/atom
calculated volume: 13.4 Å³ per atom

The structure in CIF format:
```
data_Cr2PRh
_cell_length_a 6.6289
_cell_length_b 6.6289
_cell_length_c 4.8850
_cell_angle_alpha 90.00
_cell_angle_beta 90.00
_cell_angle_gamma 90.00
_symmetry_space_group_name_H-M 'I -4 2 d'
_symmetry_Int_Tables_number 122
_symmetry_space_group_name_Hall 'I -4 2bw'
loop_
_atom_site_label
_atom_site_fract_x
_atom_site_fract_y
_atom_site_fract_z
Cr1 0.2103 0.2500 0.1250
P1 0.0000 0.0000 0.0000
Rh1 0.0000 0.0000 0.5000
```



No. 4
Entry from the Alexandria database: a relaxed structure of RbPdAuF6 (GGA-PBE).

Results
formation energy without anion corrections: -1.49 eV/atom
magnetic moment: 0.0 Bohr magnetons per cell
total DFT energy (no corrections): -3.791 eV/atom
calculated volume: 19.5 Å³ per atom

The structure in CIF format:
```
data_RbPdAuF6
_cell_length_a 6.2440
_cell_length_b 10.6436
_cell_length_c 5.2814
_cell_angle_alpha 90.00
_cell_angle_beta 92.57
_cell_angle_gamma 90.00
_symmetry_space_group_name_H-M 'C 1 2 1'
_symmetry_Int_Tables_number 5
loop_
_symmetry_equiv_pos_as_xyz
'x,y,z'
'-x,y,-z'
'x+1/2,y+1/2,z'
'-x+1/2,y+1/2,-z'
loop_
_atom_site_label
_atom_site_fract_x
_atom_site_fract_y
_atom_site_fract_z
Rb1 0.0000 0.0000 0.0000
Pd1 0.0000 0.3258 0.5000
Au1 0.0000 0.6762 0.5000
F1 0.1676 0.4582 0.3457
F2 0.1789 0.1910 0.3464
F3 0.2170 0.3186 0.7789
```



No. 5
Entry from the Alexandria database: a relaxed structure of ScCrRu (GGA-PBE).

Results
excess energy over the best structure of this formula in the dataset: 0.413 eV/atom
magnetic moment: 0.0 Bohr magnetons per cell
formation energy from the elements: 320.5 meV/atom
D(E_F): 1.101 states/eV per atom
total DFT energy (no corrections): -8.090 eV/atom
calculated volume: 17.7 Å³ per atom

The structure in CIF format:
```
data_ScCrRu
_cell_length_a 5.9699
_cell_length_b 5.9699
_cell_length_c 5.9699
_cell_angle_alpha 90.00
_cell_angle_beta 90.00
_cell_angle_gamma 90.00
_symmetry_space_group_name_H-M 'F -4 3 m'
_symmetry_Int_Tables_number 216
_symmetry_space_group_name_Hall 'F -4 2 3'
loop_
_atom_site_label
_atom_site_fract_x
_atom_site_fract_y
_atom_site_fract_z
Sc1 0.0000 0.0000 0.0000
Cr1 0.0000 0.0000 0.5000
Ru1 0.2500 0.2500 0.2500
```



No. 6
Entry from the Alexandria database: a relaxed structure of ZrTlSbTe2 (GGA-PBE).

Results
formation energy without anion corrections: -0.22 eV/atom
excess energy over the best structure of this formula in the dataset: 0.000 eV/atom
magnetic moment: 0.0 Bohr magnetons per cell
D(E_F): 0.829 states/eV per atom
total DFT energy (no corrections): -4.481 eV/atom
calculated volume: 36.1 Å³ per atom

The structure in CIF format:
```
data_ZrTlSbTe2
_cell_length_a 5.6555
_cell_length_b 5.6555
_cell_length_c 5.6375
_cell_angle_alpha 90.00
_cell_angle_beta 90.00
_cell_angle_gamma 90.00
_symmetry_space_group_name_H-M 'P 4/m m m'
_symmetry_Int_Tables_number 123
_symmetry_space_group_name_Hall '-P 4 2'
loop_
_atom_site_label
_atom_site_fract_x
_atom_site_fract_y
_atom_site_fract_z
Zr1 0.0000 0.0000 0.0000
Tl1 0.5000 0.5000 0.5000
Sb1 0.0000 0.0000 0.5000
Te1 0.0000 0.5000 0.0000
```



No. 7
Entry from the Alexandria database: a relaxed structure of V3GaTe (GGA-PBE).

Results
formation energy without anion corrections: 1.24 eV/atom
excess energy over the best structure of this formula in the dataset: 0.386 eV/atom
magnetic moment: 6.6 Bohr magnetons per cell
D(E_F): 1.814 states/eV per atom
total DFT energy (no corrections): -5.467 eV/atom
calculated volume: 23.5 Å³ per atom

The structure in CIF format:
```
data_V3GaTe
_cell_length_a 4.8969
_cell_length_b 4.8969
_cell_length_c 4.8969
_cell_angle_alpha 90.00
_cell_angle_beta 90.00
_cell_angle_gamma 90.00
_symmetry_space_group_name_H-M 'P m -3 m'
_symmetry_Int_Tables_number 221
_symmetry_space_group_name_Hall '-P 4 2 3'
loop_
_atom_site_label
_atom_site_fract_x
_atom_site_fract_y
_atom_site_fract_z
V1 0.0000 0.0000 0.5000
Ga1 0.5000 0.5000 0.5000
Te1 0.0000 0.0000 0.0000
```



No. 8
Entry from the Alexandria database: a relaxed structure of LiScSb2 (GGA-PBE).

Results
formation energy without anion corrections: -0.50 eV/atom
excess energy over the best structure of this formula in the dataset: 0.126 eV/atom
magnetic moment: 0.0 Bohr magnetons per cell
D(E_F): 0.304 states/eV per atom
total DFT energy (no corrections): -4.626 eV/atom
calculated volume: 23.6 Å³ per atom

The structure in CIF format:
```
data_LiScSb2
_cell_length_a 4.0111
_cell_length_b 4.0111
_cell_length_c 5.8597
_cell_angle_alpha 90.00
_cell_angle_beta 90.00
_cell_angle_gamma 90.00
_symmetry_space_group_name_H-M 'P 4 m m'
_symmetry_Int_Tables_number 99
loop_
_symmetry_equiv_pos_as_xyz
'x,y,z'
'-y,x,z'
'-x,-y,z'
'y,-x,z'
'-x,y,z'
'y,x,z'
'x,-y,z'
'-y,-x,z'
loop_
_atom_site_label
_atom_site_fract_x
_atom_site_fract_y
_atom_site_fract_z
Li1 0.0000 0.0000 0.0000
Sc1 0.5000 0.5000 0.6474
Sb1 0.0000 0.0000 0.5143
Sb2 0.5000 0.5000 0.1422
```



No. 9
Entry from the Alexandria database: a relaxed structure of NiMo3 (GGA-PBE).

Results
magnetic moment: 0.0 Bohr magnetons per cell
formation energy from the elements: 156.0 meV/atom
D(E_F): 1.202 states/eV per atom
total DFT energy (no corrections): -9.413 eV/atom
calculated volume: 14.7 Å³ per atom

The structure in CIF format:
```
data_NiMo3
_cell_length_a 3.9616
_cell_length_b 3.9616
_cell_length_c 7.5003
_cell_angle_alpha 90.00
_cell_angle_beta 90.00
_cell_angle_gamma 90.00
_symmetry_space_group_name_H-M 'I 4/m m m'
_symmetry_Int_Tables_number 139
_symmetry_space_group_name_Hall '-I 4 2'
loop_
_atom_site_label
_atom_site_fract_x
_atom_site_fract_y
_atom_site_fract_z
Ni1 0.0000 0.0000 0.0000
Mo1 0.0000 0.0000 0.5000
Mo2 0.0000 0.5000 0.2500
```



No. 10
Entry from the Alexandria database: a relaxed structure of PrErMgZn (GGA-PBE).

Results
excess energy over the best structure of this formula in the dataset: 0.035 eV/atom
magnetic moment: 0.0 Bohr magnetons per cell
formation energy from the elements: -169.2 meV/atom
D(E_F): 1.050 states/eV per atom
total DFT energy (no corrections): -3.222 eV/atom
calculated volume: 25.8 Å³ per atom

The structure in CIF format:
```
data_PrErMgZn
_cell_length_a 7.4496
_cell_length_b 7.4496
_cell_length_c 7.4496
_cell_angle_alpha 90.00
_cell_angle_beta 90.00
_cell_angle_gamma 90.00
_symmetry_space_group_name_H-M 'F -4 3 m'
_symmetry_Int_Tables_number 216
_symmetry_space_group_name_Hall 'F -4 2 3'
loop_
_atom_site_label
_atom_site_fract_x
_atom_site_fract_y
_atom_site_fract_z
Pr1 0.0000 0.0000 0.0000
Er1 0.0000 0.0000 0.5000
Mg1 0.2500 0.2500 0.2500
Zn1 0.2500 0.2500 0.7500
```



No. 11
Entry from the Alexandria database: a relaxed structure of Zr2Be2Ir (GGA-PBE).

Results
magnetic moment: 0.0 Bohr magnetons per cell
formation energy from the elements: -517.9 meV/atom
D(E_F): 0.805 states/eV per atom
total DFT energy (no corrections): -7.200 eV/atom
calculated volume: 15.0 Å³ per atom

The structure in CIF format:
```
data_Zr2Be2Ir
_cell_length_a 6.4772
_cell_length_b 6.4772
_cell_length_c 3.5699
_cell_angle_alpha 90.00
_cell_angle_beta 90.00
_cell_angle_gamma 90.00
_symmetry_space_group_name_H-M 'P 4/m b m'
_symmetry_Int_Tables_number 127
_symmetry_space_group_name_Hall '-P 4 2ab'
loop_
_atom_site_label
_atom_site_fract_x
_atom_site_fract_y
_atom_site_fract_z
Zr1 0.1768 0.3232 0.0000
Be1 0.1204 0.6204 0.5000
Ir1 0.0000 0.0000 0.5000
```



No. 12
Entry from the Alexandria database: a relaxed structure of CaHoGa2 (GGA-PBE).

Results
magnetic moment: 0.0 Bohr magnetons per cell
formation energy from the elements: -514.8 meV/atom
D(E_F): 0.510 states/eV per atom
total DFT energy (no corrections): -3.673 eV/atom
calculated volume: 23.6 Å³ per atom

The structure in CIF format:
```
data_CaHoGa2
_cell_length_a 3.6020
_cell_length_b 3.6020
_cell_length_c 7.2797
_cell_angle_alpha 90.00
_cell_angle_beta 90.00
_cell_angle_gamma 90.00
_symmetry_space_group_name_H-M 'P 4/m m m'
_symmetry_Int_Tables_number 123
_symmetry_space_group_name_Hall '-P 4 2'
loop_
_atom_site_label
_atom_site_fract_x
_atom_site_fract_y
_atom_site_fract_z
Ca1 0.0000 0.0000 0.0000
Ho1 0.0000 0.0000 0.5000
Ga1 0.5000 0.5000 0.2604
```